1.
First-principles (PBEsol) data for Ba2AgSe after structural relaxation, as listed in Alexandria.

Results
* theoretical density: 5.2 g cm⁻³

Cell lengths 4.1787, 4.3020, 16.2866 Å; angles 90.00, 90.00, 90.00 degrees
Closest atoms and distances in Å follow each position.
Space group Imm2 (No. 44)
Unique sites:
Ba  0.0000  0.0000  0.0000 [2 per cell]  2 Se 3.29, 4 Ag 3.40
Ba  0.0000  0.5000  0.2354 [2 per cell]  4 Se 3.27, 2 Ag 3.46
Ag  0.0000  0.0000  0.4017 [2 per cell]  6 Ba 3.40-3.46
Se  0.0000  0.5000  0.6558 [2 per cell]  6 Ba 3.27-3.29

***

2.
First-principles (PBEsol) data for BaAgSe2 after structural relaxation, as listed in Alexandria.

Results
* theoretical density: 6.2 g cm⁻³

Cell lengths 12.2600, 4.3509, 4.3453 Å; angles 90.00, 110.12, 90.00 degrees
Closest atoms and distances in Å follow each position.
Space group Cm (No. 8)
Unique sites:
Ba  0.0000  0.0000  0.0000 [2 per cell]  8 Se 3.35-3.48, 4 Ag 3.60-3.62
Ag  0.2499  0.5000  0.2607 [2 per cell]  4 Se 2.58-2.59
Se  0.1276  0.5000  0.6424 [2 per cell]  2 Ag 2.59
Se  0.3707  0.0000  0.3520 [2 per cell]  2 Ag 2.58

***

Asked for volume across the records above, the calculation gives 36.60; 27.21 Å³ per atom in order.
Asked for energy across the records above, the calculation gives -3.77; -4.23 eV/atom in order.
Asked for N(E_F) across the records above, the calculation gives 5.70; 5.33 states/eV per cell in order.